*one*
This record from Alexandria describes Mg2CuTe at its PBEsol-relaxed geometry. The functional is SCAN.

Structure (extended XYZ):
```
4
Lattice="4.127 0.000 0.000 2.063 3.574 0.000 2.063 1.191 5.927" Properties=species:S:1:pos:R:3 pbc="T T T"
Te 4.127 2.382 2.964
Mg 2.063 1.191 1.241
Mg 6.190 3.574 4.686
Cu 0.000 0.000 0.000
```

SG   R-3m, No. 166
Size of the total moment   0.0000 μB per atom
Crystal system   trigonal

***

*two*
This record from Alexandria describes Mg2CuTe at its PBEsol-relaxed geometry. The functional is SCAN.

Structure (extended XYZ):
```
4
Lattice="-2.715 -1.022 3.050 3.109 -1.903 2.130 0.696 5.218 -0.537" Properties=species:S:1:pos:R:3 pbc="T T T"
Te -1.358 -0.511 1.525
Cu 1.554 -0.951 1.065
Mg 0.446 1.879 1.027
Mg 0.643 0.415 3.616
```

SG   Immm, No. 71
Size of the total moment   0.0000 μB per atom
Crystal system   orthorhombic

***

Stability, lowest: *two*

***

*one*
This record from Alexandria describes Y2MgCu2 at its PBEsol-relaxed geometry. The functional is SCAN.

Structure (extended XYZ):
```
10
Lattice="5.396 0.000 0.000 -2.698 4.952 -0.024 0.000 -2.145 7.718" Properties=species:S:1:pos:R:3 pbc="T T T"
Cu -1.856 1.410 7.697
Cu 4.554 1.397 -0.004
Cu 0.842 0.324 3.855
Cu 1.856 2.482 3.838
Y 1.801 1.142 1.127
Y 3.594 0.070 4.986
Y -0.897 2.737 2.707
Y 0.896 1.664 6.566
Mg 1.830 4.415 1.905
Mg 0.868 -1.609 5.788
```

SG   C2/c, No. 15
Size of the total moment   0.0000 μB per atom
Crystal system   monoclinic

***

*two*
This record from Alexandria describes Y2MgCu2 at its PBEsol-relaxed geometry. The functional is SCAN.

Structure (extended XYZ):
```
5
Lattice="3.528 0.000 0.057 0.000 4.251 0.000 -0.113 -2.126 6.995" Properties=species:S:1:pos:R:3 pbc="T T T"
Cu 1.697 2.125 4.220
Cu 1.718 0.000 2.831
Y 3.496 2.125 1.992
Y -0.081 -0.001 5.059
Mg 1.764 0.000 0.028
```

SG   Cmmm, No. 65
Size of the total moment   0.0000 μB per atom
Crystal system   orthorhombic

***

Stability, lowest: *one*

***

*one*
This record from Alexandria describes Y2MgCu2 at its PBEsol-relaxed geometry. The functional is SCAN.

Structure (extended XYZ):
```
10
Lattice="-3.427 0.633 0.921 -0.998 -7.377 1.361 2.125 1.039 7.189" Properties=species:S:1:pos:R:3 pbc="T T T"
Mg 0.000 0.000 0.000
Mg 0.563 -3.169 4.275
Y -0.460 -0.241 5.509
Y -1.841 -5.463 3.963
Y -0.619 -3.764 7.339
Y -1.682 -1.941 2.132
Cu 0.682 -0.507 2.884
Cu 0.445 -5.832 5.666
Cu 1.488 -1.877 6.827
Cu -0.361 -4.461 1.723
```

SG   P4/mbm, No. 127
Size of the total moment   0.0058 μB per atom
Crystal system   tetragonal

***

*two*
This record from Alexandria describes Y2MgCu2 at its PBEsol-relaxed geometry. The functional is SCAN.

Structure (extended XYZ):
```
5
Lattice="3.877 0.012 0.000 -1.307 3.650 0.000 0.000 0.000 8.147" Properties=species:S:1:pos:R:3 pbc="T T T"
Cu 0.359 2.481 0.000
Cu 2.211 1.181 0.000
Mg 1.285 1.831 4.074
Y 0.000 0.000 6.378
Y 0.000 0.000 1.769
```

SG   Cmmm, No. 65
Size of the total moment   0.0303 μB per atom
Crystal system   orthorhombic

***

*three*
This record from Alexandria describes Y2MgCu2 at its PBEsol-relaxed geometry. The functional is SCAN.

Structure (extended XYZ):
```
5
Lattice="4.403 0.000 0.000 2.201 4.949 -0.033 2.201 1.551 4.700" Properties=species:S:1:pos:R:3 pbc="T T T"
Cu 4.403 2.548 3.312
Cu 4.403 3.952 1.356
Y 2.201 1.895 1.361
Y 6.604 4.605 3.307
Mg 0.000 0.000 0.000
```

SG   Immm, No. 71
Size of the total moment   0.0000 μB per atom
Crystal system   orthorhombic

***

Stability, lowest: *two*

***

*one*
This record from Alexandria describes MgZn2Cu2 at its PBEsol-relaxed geometry. The functional is SCAN.

Structure (extended XYZ):
```
10
Lattice="-1.037 -2.637 -0.253 5.468 -1.772 -3.940 3.494 -1.922 5.715" Properties=species:S:1:pos:R:3 pbc="T T T"
Mg 4.481 -1.847 0.888
Mg 0.000 0.000 0.000
Zn 6.962 -2.752 0.154
Zn 5.080 -2.335 3.517
Zn 3.882 -1.359 -1.742
Zn 2.000 -0.942 1.621
Cu 2.747 -2.905 3.032
Cu 5.178 -3.426 -1.509
Cu 6.044 -4.101 1.983
Cu 1.881 -2.230 -0.461
```

SG   P4/mbm, No. 127
Size of the total moment   0.0000 μB per atom
Crystal system   tetragonal

***

*two*
This record from Alexandria describes MgZn2Cu2 at its PBEsol-relaxed geometry. The functional is SCAN.

Structure (extended XYZ):
```
10
Lattice="-1.491 2.032 -3.952 -0.763 -5.009 0.492 -4.783 3.390 3.549" Properties=species:S:1:pos:R:3 pbc="T T T"
Zn -4.289 -0.552 -0.616
Zn -0.851 -3.673 0.383
Zn -6.187 4.087 -0.294
Zn -2.749 0.966 0.705
Cu -4.731 2.004 -0.970
Cu -5.239 0.840 1.403
Cu -1.800 -0.427 -1.313
Cu -2.307 -1.591 1.059
Mg -4.117 3.264 1.259
Mg -2.158 2.159 -1.662
```

SG   C2/c, No. 15
Size of the total moment   0.0000 μB per atom
Crystal system   monoclinic

***

*three*
This record from Alexandria describes MgZn2Cu2 at its PBEsol-relaxed geometry. The functional is SCAN.

Structure (extended XYZ):
```
5
Lattice="-4.357 0.770 1.031 1.419 -4.186 1.049 2.562 2.995 2.615" Properties=species:S:1:pos:R:3 pbc="T T T"
Cu -0.557 -2.491 1.043
Cu -2.381 -0.925 1.037
Zn -1.632 1.029 2.343
Zn 1.256 -1.450 2.352
Mg 0.000 0.000 0.000
```

SG   Fmmm, No. 69
Size of the total moment   0.0000 μB per atom
Crystal system   orthorhombic

***

*four*
This record from Alexandria describes MgZn2Cu2 at its PBEsol-relaxed geometry. The functional is SCAN.

Structure (extended XYZ):
```
10
Lattice="-0.992 0.263 3.959 0.403 -5.266 0.452 6.588 0.462 -0.492" Properties=species:S:1:pos:R:3 pbc="T T T"
Mg 1.414 -2.935 0.550
Mg 4.447 0.194 3.214
Zn 2.011 -1.324 2.705
Zn 4.338 -2.442 3.362
Zn 4.045 -3.959 1.277
Zn 1.519 -0.244 0.397
Cu 3.828 -1.349 1.049
Cu 6.203 -1.177 1.633
Cu -0.134 -4.268 2.363
Cu 2.232 -3.978 2.936
```

SG   Cmc2_1, No. 36
Size of the total moment   0.0000 μB per atom
Crystal system   orthorhombic

***

Stability, lowest: *three*